[1]
VASP calculation (PBE) on As3Cl5 after structural relaxation.

Structure (CIF):
```
data_As3Cl5
_chemical_formula_sum 'As6 Cl10'
_space_group_name_H-M_alt 'P 63/m c m'
_space_group_IT_number 193
_space_group_name_Hall '-P 6c 2'
_cell_length_a 9.0010
_cell_length_b 9.0010
_cell_length_c 6.0141
_cell_angle_alpha 90.00
_cell_angle_beta 90.00
_cell_angle_gamma 120.00
loop_
_atom_site_label
_atom_site_fract_x
_atom_site_fract_y
_atom_site_fract_z
As1 0.0000 0.4946 0.2500
Cl1 0.0000 0.2525 0.2500
Cl2 0.3333 0.6667 0.0000
```

Values from the calculation:
Its magnetic moment is 0.0 Bohr magnetons per cell. Its uncorrected formation energy is -0.145 eV per atom. The value obtained for the distance to the lowest polymorph of the same formula is 0.000 eV per atom.

---

[2]
VASP calculation (PBE) on AsCl5 after structural relaxation.

Structure (CIF):
```
data_AsCl5
_chemical_formula_sum 'As1 Cl5'
_space_group_name_H-M_alt 'P 4/m m m'
_space_group_IT_number 123
_space_group_name_Hall '-P 4 2'
_cell_length_a 3.373
_cell_length_b 3.373
_cell_length_c 11.503
_cell_angle_alpha 90.00
_cell_angle_beta 90.00
_cell_angle_gamma 90.00
loop_
_atom_site_label
_atom_site_fract_x
_atom_site_fract_y
_atom_site_fract_z
As1 0.000 0.000 0.000
Cl1 0.000 0.000 0.334
Cl2 0.500 0.500 0.132
Cl3 0.500 0.500 0.500
```

Values from the calculation:
Its magnetic moment is 2.3 Bohr magnetons per cell. Its uncorrected formation energy is 0.484 eV per atom.

---

[3]
VASP calculation (PBE) on AsCl2 after structural relaxation.

Structure (CIF):
```
data_AsCl2
_chemical_formula_sum 'As2 Cl4'
_space_group_name_H-M_alt 'I m m m'
_space_group_IT_number 71
_space_group_name_Hall '-I 2 2'
_cell_length_a 3.268
_cell_length_b 7.115
_cell_length_c 8.104
_cell_angle_alpha 90.00
_cell_angle_beta 90.00
_cell_angle_gamma 90.00
loop_
_atom_site_label
_atom_site_fract_x
_atom_site_fract_y
_atom_site_fract_z
As1 0.000 0.000 0.000
Cl1 0.000 0.000 0.283
```

Values from the calculation:
Its magnetic moment is 0.0 Bohr magnetons per cell. Its uncorrected formation energy is 0.011 eV per atom. The value obtained for the distance to the lowest polymorph of the same formula is 0.478 eV per atom.

---

[4]
VASP calculation (PBE) on AsCl2 after structural relaxation.

Structure (CIF):
```
data_AsCl2
_chemical_formula_sum 'As4 Cl8'
_space_group_name_H-M_alt 'F m m m'
_space_group_IT_number 69
_space_group_name_Hall '-F 2 2'
_cell_length_a 3.607
_cell_length_b 7.549
_cell_length_c 14.651
_cell_angle_alpha 90.00
_cell_angle_beta 90.00
_cell_angle_gamma 90.00
loop_
_atom_site_label
_atom_site_fract_x
_atom_site_fract_y
_atom_site_fract_z
As1 0.000 0.000 0.000
Cl1 0.000 0.000 0.381
```

Values from the calculation:
Its magnetic moment is 2.8 Bohr magnetons per cell. Its uncorrected formation energy is -0.266 eV per atom. The value obtained for the distance to the lowest polymorph of the same formula is 0.201 eV per atom.

---

[5]
VASP calculation (PBE) on AsCl3 after structural relaxation.

Structure (CIF):
```
data_AsCl3
_chemical_formula_sum 'As1 Cl3'
_space_group_name_H-M_alt 'P m -3 m'
_space_group_IT_number 221
_space_group_name_Hall '-P 4 2 3'
_cell_length_a 4.976
_cell_length_b 4.976
_cell_length_c 4.976
_cell_angle_alpha 90.00
_cell_angle_beta 90.00
_cell_angle_gamma 90.00
loop_
_atom_site_label
_atom_site_fract_x
_atom_site_fract_y
_atom_site_fract_z
As1 0.000 0.000 0.000
Cl1 0.000 0.000 0.500
```

Values from the calculation:
Its magnetic moment is 0.0 Bohr magnetons per cell. Its uncorrected formation energy is -0.484 eV per atom.

---

[6]
VASP calculation (PBE) on AsCl3 after structural relaxation.

Structure (CIF):
```
data_AsCl3
_chemical_formula_sum 'As4 Cl12'
_space_group_name_H-M_alt 'C m c m'
_space_group_IT_number 63
_space_group_name_Hall '-C 2c 2'
_cell_length_a 8.437
_cell_length_b 11.942
_cell_length_c 7.683
_cell_angle_alpha 90.00
_cell_angle_beta 90.00
_cell_angle_gamma 90.00
loop_
_atom_site_label
_atom_site_fract_x
_atom_site_fract_y
_atom_site_fract_z
As1 0.000 0.226 0.250
Cl1 0.000 0.407 0.250
Cl2 0.223 0.293 0.750
```

Values from the calculation:
Its magnetic moment is 0.0 Bohr magnetons per cell. Its uncorrected formation energy is -0.354 eV per atom.

---

[7]
VASP calculation (PBE) on AsCl3 after structural relaxation.

Structure (CIF):
```
data_AsCl3
_chemical_formula_sum 'As4 Cl12'
_space_group_name_H-M_alt 'F m -3 m'
_space_group_IT_number 225
_space_group_name_Hall '-F 4 2 3'
_cell_length_a 6.782
_cell_length_b 6.782
_cell_length_c 6.782
_cell_angle_alpha 90.00
_cell_angle_beta 90.00
_cell_angle_gamma 90.00
loop_
_atom_site_label
_atom_site_fract_x
_atom_site_fract_y
_atom_site_fract_z
As1 0.000 0.000 0.000
Cl1 0.000 0.000 0.500
Cl2 0.250 0.250 0.250
```

Values from the calculation:
Its magnetic moment is 0.0 Bohr magnetons per cell. Its uncorrected formation energy is 0.296 eV per atom.

---

[8]
VASP calculation (PBE) on AsCl3 after structural relaxation.

Structure (CIF):
```
data_AsCl3
_chemical_formula_sum 'As1 Cl3'
_space_group_name_H-M_alt 'P 4/m m m'
_space_group_IT_number 123
_space_group_name_Hall '-P 4 2'
_cell_length_a 3.199
_cell_length_b 3.199
_cell_length_c 8.975
_cell_angle_alpha 90.00
_cell_angle_beta 90.00
_cell_angle_gamma 90.00
loop_
_atom_site_label
_atom_site_fract_x
_atom_site_fract_y
_atom_site_fract_z
As1 0.000 0.000 0.000
Cl1 0.000 0.000 0.500
Cl2 0.500 0.500 0.180
```

Values from the calculation:
Its magnetic moment is 0.7 Bohr magnetons per cell. Its uncorrected formation energy is 0.240 eV per atom.

---

[9]
VASP calculation (PBE) on AsCl2 after structural relaxation.

Structure (CIF):
```
data_AsCl2
_chemical_formula_sum 'As3 Cl6'
_space_group_name_H-M_alt 'P -6 2 m'
_space_group_IT_number 189
_space_group_name_Hall 'P -6 -2'
_cell_length_a 7.6170
_cell_length_b 7.6170
_cell_length_c 5.7057
_cell_angle_alpha 90.00
_cell_angle_beta 90.00
_cell_angle_gamma 120.00
loop_
_atom_site_label
_atom_site_fract_x
_atom_site_fract_y
_atom_site_fract_z
As1 0.0000 0.0000 0.0000
As2 0.3333 0.6667 0.5000
Cl1 0.0000 0.3562 0.5000
Cl2 0.0000 0.6878 0.0000
```

Values from the calculation:
Its magnetic moment is 2.1 Bohr magnetons per cell. Its uncorrected formation energy is -0.081 eV per atom. The value obtained for the distance to the lowest polymorph of the same formula is 0.385 eV per atom.

---

[10]
VASP calculation (PBE) on As7Cl after structural relaxation.

Structure (CIF):
```
data_As7Cl
_chemical_formula_sum 'As28 Cl4'
_space_group_name_H-M_alt 'F m -3 m'
_space_group_IT_number 225
_space_group_name_Hall '-F 4 2 3'
_cell_length_a 8.541
_cell_length_b 8.541
_cell_length_c 8.541
_cell_angle_alpha 90.00
_cell_angle_beta 90.00
_cell_angle_gamma 90.00
loop_
_atom_site_label
_atom_site_fract_x
_atom_site_fract_y
_atom_site_fract_z
As1 0.000 0.000 0.000
As2 0.000 0.250 0.250
Cl1 0.000 0.000 0.500
```

Values from the calculation:
Its magnetic moment is 0.0 Bohr magnetons per cell. Its uncorrected formation energy is 0.543 eV per atom.

---

[11]
VASP calculation (PBE) on AsCl2 after structural relaxation.

Structure (CIF):
```
data_AsCl2
_chemical_formula_sum 'As4 Cl8'
_space_group_name_H-M_alt 'P n m a'
_space_group_IT_number 62
_space_group_name_Hall '-P 2ac 2n'
_cell_length_a 8.993
_cell_length_b 3.456
_cell_length_c 12.245
_cell_angle_alpha 90.00
_cell_angle_beta 90.00
_cell_angle_gamma 90.00
loop_
_atom_site_label
_atom_site_fract_x
_atom_site_fract_y
_atom_site_fract_z
As1 0.106 0.250 0.073
Cl1 0.014 0.750 0.207
Cl2 0.218 0.250 0.497
```

Values from the calculation:
Its magnetic moment is 0.0 Bohr magnetons per cell. Its uncorrected formation energy is -0.316 eV per atom. The value obtained for the distance to the lowest polymorph of the same formula is 0.151 eV per atom.

---

[12]
VASP calculation (PBE) on AsCl2 after structural relaxation.

Structure (CIF):
```
data_AsCl2
_chemical_formula_sum 'As1 Cl2'
_space_group_name_H-M_alt 'P -3 m 1'
_space_group_IT_number 164
_space_group_name_Hall '-P 3 2"'
_cell_length_a 3.4388
_cell_length_b 3.4388
_cell_length_c 6.7418
_cell_angle_alpha 90.00
_cell_angle_beta 90.00
_cell_angle_gamma 120.00
loop_
_atom_site_label
_atom_site_fract_x
_atom_site_fract_y
_atom_site_fract_z
As1 0.0000 0.0000 0.0000
Cl1 0.3333 0.6667 0.2798
```

Values from the calculation:
Its magnetic moment is 0.0 Bohr magnetons per cell. Its uncorrected formation energy is 0.047 eV per atom. The value obtained for the distance to the lowest polymorph of the same formula is 0.513 eV per atom.